A plane-wave DFT calculation with GGA-PBE was carried out for Sm2TmInN after structural relaxation.

Lattice parameters (Å, degrees): 4.7342 4.9672 4.9672 90.00 90.00 90.00
Last column: nearest neighbours and their distance in Å.
Atoms (fractional coordinates):
N: 0.0000 0.0000 0.0000  2 Tm 2.37, 4 Sm 2.48
In: 0.5000 0.5000 0.5000  8 Sm 3.43, 4 Tm 3.51
Sm: 0.0000 0.0000 0.5000  2 N 2.48
Sm: 0.0000 0.5000 0.0000  2 N 2.48
Tm: 0.5000 0.0000 0.0000  2 N 2.37

* final energy: -29.69 eV per cell
* calculated volume: 23.36 Å³/atom



A plane-wave DFT calculation with GGA-PBE was carried out for Ca2Zn2As3 after structural relaxation.

Lattice parameters (Å, degrees): 4.2163 8.1168 9.6948 81.14 77.44 74.95
Last column: nearest neighbours and their distance in Å.
Atoms (fractional coordinates):
As: 0.8428 0.5053 0.8092  3 Zn 2.55-2.57
As: 0.9169 0.0410 0.1252  1 As 2.52, 1 Zn 2.60
As: 0.0831 0.9590 0.8748  1 As 2.52, 1 Zn 2.60
As: 0.6185 0.2277 0.5352  4 Zn 2.53-2.68
As: 0.1572 0.4947 0.1908  3 Zn 2.55-2.57
As: 0.3815 0.7723 0.4648  4 Zn 2.53-2.68
Ca: 0.7343 0.8659 0.6655  6 As 2.97-3.03
Ca: 0.6059 0.7399 0.0483  7 As 3.06-3.30, 3 Zn 3.29-3.30
Ca: 0.3941 0.2601 0.9517  7 As 3.06-3.30, 3 Zn 3.29-3.30
Ca: 0.2657 0.1341 0.3345  6 As 2.97-3.03
Zn: 0.0427 0.2270 0.6876  4 As 2.55-2.60
Zn: 0.4106 0.5225 0.6564  4 As 2.53-2.68
Zn: 0.9573 0.7730 0.3124  4 As 2.55-2.60
Zn: 0.5894 0.4775 0.3436  4 As 2.53-2.68

* final energy: -51.89 eV per cell
* formation energy: -0.778 eV per atom
* calculated volume: 22.22 Å³/atom



A plane-wave DFT calculation with GGA-PBE was carried out for SrAc2OsN4 after structural relaxation.

Lattice parameters (Å, degrees): 3.7435 6.8002 12.7586 90.00 90.00 105.98
Last column: nearest neighbours and their distance in Å.
Atoms (fractional coordinates):
Ac: 0.6309 0.2617 0.4636  6 N 2.58-2.81
Ac: 0.6309 0.2617 0.0364  6 N 2.58-2.81
Ac: 0.3691 0.7383 0.5364  6 N 2.58-2.81
Ac: 0.3691 0.7383 0.9636  6 N 2.58-2.81
Os: 0.8396 0.6792 0.7500  4 N 1.96-1.99
Os: 0.1604 0.3208 0.2500  4 N 1.96-1.99
N: 0.0000 0.0000 0.5000  4 Ac 2.58
N: 0.2608 0.5216 0.1325  1 Os 1.99
N: 0.7392 0.4784 0.8675  1 Os 1.99
N: 0.7392 0.4784 0.6325  1 Os 1.99
N: 0.6170 0.2340 0.2500  2 Os 1.96
N: 0.2608 0.5216 0.3675  1 Os 1.99
N: 0.3830 0.7660 0.7500  2 Os 1.96
N: 0.0000 0.0000 0.0000  4 Ac 2.58
Sr: 0.1333 0.2665 0.7500  4 N 2.77
Sr: 0.8667 0.7335 0.2500  4 N 2.77

* final energy: -117.13 eV per cell
* calculated volume: 19.52 Å³/atom



A plane-wave DFT calculation with GGA-PBE was carried out for Pr2Nd4SmTm after structural relaxation.

Lattice parameters (Å, degrees): 5.1815 5.1671 11.5706 63.38 90.00 90.00
Last column: nearest neighbours and their distance in Å.
Atoms (fractional coordinates):
Nd: 0.5000 0.2517 0.7484  4 Pr 3.64-3.67, 2 Tm 3.65, 4 Nd 3.66, 2 Sm 3.66-3.67
Nd: 0.0000 0.2471 0.2525  2 Tm 3.63-3.64, 4 Pr 3.64-3.68, 4 Nd 3.66, 2 Sm 3.68
Nd: 0.0000 0.7529 0.7475  2 Tm 3.63-3.64, 4 Pr 3.64-3.68, 4 Nd 3.66, 2 Sm 3.68
Nd: 0.5000 0.7483 0.2516  4 Pr 3.64-3.67, 2 Tm 3.65, 4 Nd 3.66, 2 Sm 3.66-3.67
Pr: 0.0000 0.0000 0.0000  4 Sm 3.66, 8 Nd 3.67-3.68
Pr: 0.5000 0.0000 0.5000  8 Nd 3.64-3.65, 4 Tm 3.66
Sm: 0.5000 0.5000 0.0000  4 Pr 3.66, 8 Nd 3.66-3.68
Tm: 0.0000 0.5000 0.5000  8 Nd 3.63-3.65, 4 Pr 3.66

* final energy: -37.71 eV per cell
* formation energy: 0.014 eV per atom
* calculated volume: 34.62 Å³/atom



A plane-wave DFT calculation with GGA-PBE was carried out for PuGaPb after structural relaxation.

Lattice parameters (Å, degrees): 3.5147 3.5147 6.5867 105.47 105.47 90.00
Last column: nearest neighbours and their distance in Å.
Atoms (fractional coordinates):
Pb: 0.2677 0.2677 0.5355  4 Ga 3.09, 4 Pu 3.46
Pu: 0.9646 0.9646 0.9293  4 Ga 3.11, 4 Pb 3.46
Ga: 0.6176 0.6176 0.2352  4 Pb 3.09, 4 Pu 3.11

* final energy: -21.38 eV per cell
* formation energy: -0.104 eV per atom
* calculated volume: 25.12 Å³/atom
* offset from the most stable computed form: 62 meV/atom



A plane-wave DFT calculation with GGA-PBE was carried out for MgCr3Rh after structural relaxation.

Lattice parameters (Å, degrees): 4.7660 4.7660 4.7660 90.00 90.00 90.00
Last column: nearest neighbours and their distance in Å.
Atoms (fractional coordinates):
Cr: 0.0000 0.0000 0.5000  2 Rh 2.38
Cr: 0.5000 0.0000 0.0000  2 Rh 2.38
Cr: 0.0000 0.5000 0.0000  2 Rh 2.38
Mg: 0.5000 0.5000 0.5000  12 Cr 3.37
Rh: 0.0000 0.0000 0.0000  6 Cr 2.38

* final energy: -32.39 eV per cell
* formation energy: 1.086 eV per atom
* calculated volume: 21.65 Å³/atom
* offset from the most stable computed form: 0 meV/atom



A plane-wave DFT calculation with GGA-PBE was carried out for Li4RuRh3O8 after structural relaxation.

Lattice parameters (Å, degrees): 6.2051 5.9286 6.2058 121.55 120.00 90.00
Last column: nearest neighbours and their distance in Å.
Atoms (fractional coordinates):
Rh: 0.5000 0.5000 0.0000  6 O 2.09
Rh: 0.5000 0.5000 0.5000  6 O 2.09
Rh: 0.0000 0.5000 0.5000  6 O 2.09
O: 0.2571 0.2728 0.0151  1 Ru 2.09, 2 Rh 2.09, 3 Li 2.21
O: 0.7429 0.7272 0.9849  1 Ru 2.09, 2 Rh 2.09, 3 Li 2.21
O: 0.7579 0.2728 0.0151  1 Ru 2.09, 2 Rh 2.09, 3 Li 2.21
O: 0.2568 0.2703 0.5136  3 Rh 2.09, 3 Li 2.20
O: 0.2421 0.7272 0.9849  1 Ru 2.09, 2 Rh 2.09, 3 Li 2.21
O: 0.7432 0.7297 0.4864  3 Rh 2.09, 3 Li 2.20
O: 0.2421 0.7272 0.4842  1 Ru 2.09, 2 Rh 2.09, 3 Li 2.21
O: 0.7579 0.2728 0.5158  1 Ru 2.09, 2 Rh 2.09, 3 Li 2.21
Li: 0.5000 0.0000 0.0000  6 O 2.21
Li: 0.5000 0.0000 0.5000  6 O 2.20-2.21
Li: 0.0000 0.0000 0.5000  6 O 2.20-2.21
Li: 0.0000 0.0000 0.0000  6 O 2.20-2.21
Ru: 0.0000 0.5000 0.0000  6 O 2.09

* final energy: -97.60 eV per cell
* calculated volume: 9.85 Å³/atom



A plane-wave DFT calculation with GGA-PBE was carried out for TiV3Os after structural relaxation.

Lattice parameters (Å, degrees): 2.9211 6.6766 7.7113 96.76 100.92 90.00
Last column: nearest neighbours and their distance in Å.
Atoms (fractional coordinates):
V: 0.2295 0.6439 0.4589  4 V 2.55-2.57, 2 Os 2.58, 2 Ti 2.68
V: 0.3211 0.0734 0.6422  2 Os 2.55, 6 V 2.57-2.71
V: 0.6789 0.9266 0.3578  2 Os 2.55, 6 V 2.57-2.71
V: 0.7705 0.3561 0.5411  4 V 2.55-2.57, 2 Os 2.58, 2 Ti 2.68
V: 0.9704 0.1747 0.9407  1 Os 2.50, 3 V 2.60-2.71
V: 0.0296 0.8253 0.0593  1 Os 2.50, 3 V 2.60-2.71
Ti: 0.5864 0.5048 0.1728  3 Ti 2.61-2.92, 2 Os 2.62, 4 V 2.68-2.81
Ti: 0.4136 0.4952 0.8272  3 Ti 2.61-2.92, 2 Os 2.62, 4 V 2.68-2.81
Os: 0.1369 0.2131 0.2738  5 V 2.50-2.58, 2 Ti 2.62
Os: 0.8631 0.7869 0.7262  5 V 2.50-2.58, 2 Ti 2.62

* final energy: -93.36 eV per cell
* formation energy: -0.040 eV per atom
* calculated volume: 14.66 Å³/atom
* offset from the most stable computed form: 0 meV/atom



A plane-wave DFT calculation with GGA-PBE was carried out for InAgSCl2 after structural relaxation.

Lattice parameters (Å, degrees): 5.1686 5.1686 5.0167 90.00 90.00 90.00
Last column: nearest neighbours and their distance in Å.
Atoms (fractional coordinates):
Cl: 0.5000 0.0000 0.0000  2 In 2.58
Cl: 0.0000 0.5000 0.0000  2 In 2.58
In: 0.0000 0.0000 0.0000  2 S 2.51, 4 Cl 2.58
S: 0.0000 0.0000 0.5000  2 In 2.51
Ag: 0.5000 0.5000 0.5000  8 Cl 3.60, 4 S 3.65

* final energy: -14.52 eV per cell
* calculated volume: 26.80 Å³/atom
* offset from the most stable computed form: 0 meV/atom



A plane-wave DFT calculation with GGA-PBE was carried out for AlNiAgSe after structural relaxation.

Lattice parameters (Å, degrees): 3.5618 3.5283 11.9026 90.00 107.19 90.00
Last column: nearest neighbours and their distance in Å.
Atoms (fractional coordinates):
Ni: 0.6181 0.5000 0.5751  2 Se 2.36, 1 Al 2.37
Ni: 0.6181 0.0000 0.0751  2 Se 2.36, 1 Al 2.37
Al: 0.8256 0.0000 0.2835  1 Ni 2.37, 2 Se 2.49-2.50
Al: 0.8256 0.5000 0.7835  1 Ni 2.37, 2 Se 2.49-2.50
Se: 0.4778 0.0000 0.4372  2 Ni 2.36, 2 Al 2.49-2.50
Se: 0.4778 0.5000 0.9372  2 Ni 2.36, 2 Al 2.49-2.50
Ag: 0.2107 0.0000 0.6694  4 Ni 2.72-2.73, 4 Al 2.82-2.83
Ag: 0.2107 0.5000 0.1694  4 Ni 2.72-2.73, 4 Al 2.82-2.83

* final energy: -32.62 eV per cell
* calculated volume: 17.86 Å³/atom
* offset from the most stable computed form: 121 meV/atom



A plane-wave DFT calculation with GGA-PBE was carried out for PaNi5B3 after structural relaxation.

Lattice parameters (Å, degrees): 3.3814 5.6278 10.7961 90.00 90.00 107.48
Last column: nearest neighbours and their distance in Å.
Atoms (fractional coordinates):
Ni: 0.4433 0.8865 0.1440  4 B 2.05-2.15, 1 Ni 2.29
Ni: 0.0000 0.0000 0.0000  4 B 2.11, 2 Ni 2.36
Ni: 0.7925 0.5851 0.0723  2 B 1.98-2.14
Ni: 0.2075 0.4149 0.5723  2 B 1.98-2.14
Ni: 0.7925 0.5851 0.4277  2 B 1.98-2.14
Ni: 0.5567 0.1135 0.8560  4 B 2.05-2.15, 1 Ni 2.29
Ni: 0.4433 0.8865 0.3560  4 B 2.05-2.15, 1 Ni 2.29
Ni: 0.0000 0.0000 0.5000  4 B 2.11, 2 Ni 2.36
Ni: 0.5567 0.1135 0.6440  4 B 2.05-2.15, 1 Ni 2.29
Ni: 0.2075 0.4149 0.9277  2 B 1.98-2.14
B: 0.6113 0.2225 0.4617  5 Ni 1.98-2.13
B: 0.6113 0.2225 0.0383  5 Ni 1.98-2.13
B: 0.1188 0.2375 0.7500  6 Ni 2.14-2.15
B: 0.3887 0.7775 0.9617  5 Ni 1.98-2.13
B: 0.3887 0.7775 0.5383  5 Ni 1.98-2.13
B: 0.8812 0.7625 0.2500  6 Ni 2.14-2.15
Pa: 0.8455 0.6909 0.7500  7 B 2.88-2.96, 10 Ni 2.96-3.17
Pa: 0.1545 0.3091 0.2500  7 B 2.88-2.96, 10 Ni 2.96-3.17

* final energy: -123.23 eV per cell
* formation energy: -0.353 eV per atom
* calculated volume: 10.89 Å³/atom



A plane-wave DFT calculation with GGA-PBE was carried out for PbAuBr3 after structural relaxation.

Lattice parameters (Å, degrees): 5.3783 5.3783 5.3783 90.00 90.00 90.00
Last column: nearest neighbours and their distance in Å.
Atoms (fractional coordinates):
Br: 0.5000 0.0000 0.0000  2 Au 2.69
Br: 0.0000 0.0000 0.5000  2 Au 2.69
Br: 0.0000 0.5000 0.0000  2 Au 2.69
Pb: 0.5000 0.5000 0.5000  12 Br 3.80
Au: 0.0000 0.0000 0.0000  6 Br 2.69

* final energy: -12.67 eV per cell
* calculated volume: 31.11 Å³/atom
* offset from the most stable computed form: 429 meV/atom